Record 1
Li4TiTe3O12 | GGA-PBEsol | optimized geometry

Cell: 4.9989 5.1550 8.7148 Å, 90.00 90.00 94.23°
Positions (direct):
Li 0.0000 0.0000 0.6972
Li 0.5000 0.0000 0.8672
Li 0.0000 0.5000 0.3025
Li 0.5000 0.5000 0.1670
Ti 0.0000 0.0000 0.1051
Te 0.5000 0.0000 0.4020
Te 0.0000 0.5000 0.9209
Te 0.5000 0.5000 0.6047
O 0.7339 0.8633 0.2508
O 0.7188 0.8544 0.5611
O 0.7880 0.7982 0.9417
O 0.2961 0.6648 0.4217
O 0.1980 0.6857 0.0892
O 0.2165 0.6922 0.7728
O 0.7835 0.3078 0.7728
O 0.8020 0.3143 0.0892
O 0.7039 0.3352 0.4217
O 0.2120 0.2018 0.9417
O 0.2812 0.1456 0.5611
O 0.2661 0.1367 0.2508

Results
As for the density: 4822 kg/m³. The density of states at the Fermi level is 0.000 states/eV/atom. Its space group is P2, No. 3. The calculation puts the uncorrected formation energy at -1.7052 eV per atom.

Record 2
Ba2ReSi | GGA-PBEsol | optimized geometry

Cell: 3.0508 4.8066 7.1145 Å, 90.00 90.00 90.00°
Positions (direct):
Ba 0.0000 0.0000 0.7503
Ba 0.0000 0.0000 0.2497
Re 0.5000 0.5000 0.0000
Si 0.5000 0.5000 0.5000

Results
As for the density: 7782 kg/m³. The density of states at the Fermi level is 1.024 states/eV/atom. Its space group is Pmmm, No. 47. The calculation puts the uncorrected formation energy at 0.9340 eV per atom.